(1)
An optimized crystal structure of K3Pr2BiS6, computed with PBE.

Lattice parameters (Å, degrees): 7.290 7.290 7.794 98.97 98.97 119.99
Element x y z (fractional)
S 0.598 0.930 0.791
S 0.738 0.738 0.209
Bi 0.000 0.000 0.000
K 0.165 0.835 0.500
S 0.402 0.070 0.209
K 0.500 0.500 0.500
S 0.070 0.402 0.209
K 0.835 0.165 0.500
Pr 0.333 0.667 0.000
S 0.262 0.262 0.791
S 0.930 0.598 0.791
Pr 0.667 0.333 0.000

Properties
Symmetry: C2/m (12)
Final energy, eV per atom: -4.955
Formation energy without anion corrections, meV/atom: -1497.0
Mass density, g/cm3: 3.90

---

(2)
An optimized crystal structure of K3Pr3BiSe8, computed with PBE.

Lattice parameters (Å, degrees): 8.642 8.646 9.316 117.69 90.00 119.98
Element x y z (fractional)
Pr 0.500 0.000 0.500
K 0.000 0.000 0.000
Se 0.768 0.024 0.293
Se 0.256 0.024 0.293
Se 0.737 0.474 0.711
Se 0.263 0.526 0.289
K 0.500 0.500 0.000
Se 0.744 0.976 0.707
Se 0.232 0.464 0.707
Se 0.768 0.536 0.293
Bi 0.000 0.000 0.500
Se 0.232 0.976 0.707
Pr 0.000 0.500 0.500
Pr 0.500 0.500 0.500
K 0.000 0.500 0.000

Properties
Symmetry: R-3m (166)
Final energy, eV per atom: -4.703
Formation energy without anion corrections, meV/atom: -1410.8
Mass density, g/cm3: 4.51

---

(3)
An optimized crystal structure of K4Pr3BiSe8, computed with PBE.

Lattice parameters (Å, degrees): 8.736 9.225 8.735 118.28 120.00 90.00
Element x y z (fractional)
Se 0.237 0.712 0.473
K 0.500 0.000 0.500
Se 0.261 0.288 0.024
Bi 0.000 0.500 0.000
K 0.000 0.000 0.000
Se 0.738 0.713 0.475
Se 0.763 0.288 0.024
Pr 0.500 0.500 0.000
K 0.500 0.000 0.000
Se 0.262 0.287 0.525
Pr 0.000 0.500 0.500
K 0.000 0.000 0.500
Pr 0.500 0.500 0.500
Se 0.739 0.712 0.976
Se 0.763 0.288 0.527
Se 0.237 0.712 0.976

Properties
Symmetry: R-3m (166)
Final energy, eV per atom: -4.667
Formation energy without anion corrections, meV/atom: -1511.9
Mass density, g/cm3: 4.62

---

(4)
An optimized crystal structure of K3Pr2BiTe6, computed with PBE.

Lattice parameters (Å, degrees): 8.033 8.033 8.690 98.87 98.87 120.00
Element x y z (fractional)
K 0.167 0.833 0.500
Te 0.258 0.258 0.786
Te 0.071 0.401 0.214
Te 0.929 0.599 0.786
Pr 0.667 0.333 0.000
Bi 0.000 0.000 0.000
Te 0.742 0.742 0.214
Te 0.599 0.929 0.786
Pr 0.333 0.667 0.000
K 0.833 0.167 0.500
Te 0.401 0.071 0.214
K 0.500 0.500 0.500

Properties
Symmetry: C2/m (12)
Final energy, eV per atom: -4.113
Formation energy without anion corrections, meV/atom: -1147.8
Mass density, g/cm3: 4.94

---

(5)
An optimized crystal structure of K3Pr3BiTe8, computed with PBE.

Lattice parameters (Å, degrees): 9.124 9.143 9.994 117.34 90.00 119.93
Element x y z (fractional)
Te 0.763 0.527 0.287
Pr 0.000 0.500 0.500
Te 0.260 0.024 0.288
Pr 0.500 0.000 0.500
Te 0.261 0.522 0.283
K 0.000 0.500 0.000
Te 0.237 0.976 0.712
K 0.000 0.000 0.000
Bi 0.000 0.000 0.500
Te 0.740 0.976 0.712
Te 0.763 0.024 0.288
Te 0.739 0.478 0.717
K 0.500 0.500 0.000
Te 0.237 0.473 0.713
Pr 0.500 0.500 0.500

Properties
Symmetry: C2/m (12)
Final energy, eV per atom: -4.226
Formation energy without anion corrections, meV/atom: -1116.1
Mass density, g/cm3: 4.80

---

(6)
An optimized crystal structure of K3PrBi2Te6, computed with PBE.

Lattice parameters (Å, degrees): 8.000 8.000 8.707 98.80 98.80 120.02
Element x y z (fractional)
Pr 0.000 0.000 0.000
Bi 0.667 0.333 0.000
Te 0.733 0.733 0.213
Te 0.929 0.591 0.788
K 0.167 0.833 0.500
Te 0.409 0.071 0.212
Bi 0.333 0.667 0.000
Te 0.071 0.409 0.212
K 0.500 0.500 0.500
K 0.833 0.167 0.500
Te 0.267 0.267 0.787
Te 0.591 0.929 0.788

Properties
Symmetry: C2/m (12)
Final energy, eV per atom: -3.774
Formation energy without anion corrections, meV/atom: -883.6
Mass density, g/cm3: 5.21

---

(7)
An optimized crystal structure of K2BiPt, computed with PBE.

Lattice parameters (Å, degrees): 12.794 12.794 9.405 47.14 47.14 90.00
Element x y z (fractional)
Pt 0.250 0.750 0.500
K 0.361 0.625 0.250
Pt 0.500 0.500 0.000
Bi 0.750 0.250 0.500
Bi 0.000 0.000 0.000
K 0.375 0.611 0.750
K 0.389 0.125 0.250
K 0.875 0.639 0.750

Properties
Symmetry: I-42d (122)
Final energy, eV per atom: -3.220
Formation energy, kJ/mol of atoms: -18
Mass density, g/cm3: 3.80

---

(8)
An optimized crystal structure of KBi4Pt4, computed with PBE.

Lattice parameters (Å, degrees): 5.606 9.442 9.442 90.00 90.00 90.00
Element x y z (fractional)
Bi 0.098 0.860 0.376
Bi 0.902 0.624 0.860
Bi 0.902 0.376 0.140
Pt 0.904 0.680 0.156
K 0.000 0.000 0.000
Pt 0.404 0.656 0.820
Bi 0.402 0.640 0.124
Bi 0.598 0.124 0.360
Pt 0.596 0.180 0.656
Pt 0.596 0.820 0.344
Bi 0.402 0.360 0.876
K 0.500 0.500 0.500
Bi 0.098 0.140 0.624
Pt 0.404 0.344 0.180
Bi 0.598 0.876 0.640
Pt 0.096 0.156 0.320
Pt 0.096 0.844 0.680
Pt 0.904 0.320 0.844

Properties
Symmetry: P4_2/n (86)
Final energy, eV per atom: -4.773
Formation energy, kJ/mol of atoms: -23
Mass density, g/cm3: 11.00